Below is a geometry-optimized Pa5P5S2 structure, with properties calculated at the PBE level.

E_form (uncorrected): -1.193 eV per atom
crystal system: monoclinic
symmetry: C2/m (12)

The structure in POSCAR format:
```
Pa5P5S2
1.0
6.5613 -1.9490 0.0000
6.5613 1.9490 0.0000
-3.4269 0.0000 10.5923
Pa P S
5 5 2
Cartesian
0.0000 0.0000 0.0000
0.1189 0.0000 4.5613
3.2620 0.0000 2.0979
6.4338 0.0000 8.4943
9.5769 0.0000 6.0310
1.3810 0.0000 7.0911
1.2307 0.0000 10.0552
4.8479 0.0000 5.2961
8.4650 0.0000 0.5371
8.3147 0.0000 3.5011
-2.0573 0.0000 8.3008
11.7530 0.0000 2.2915
```